# 1
Mg12Pb17 | Alexandria | SCAN | single point on PBEsol structure; space group = I-43m (217); crystal system = cubic; total moment = 0.0000 μB per atom; E_form = -0.05 eV/atom; mass density = 8.21 Mg/m³; calculated total energy = -46.54 eV/atom
1.0
-5.778 5.778 5.778
5.778 -5.778 5.778
5.778 5.778 -5.778
Mg Pb
12 17
direct
0.000 0.619 0.809 Mg
0.000 0.809 0.619 Mg
0.190 0.381 0.381 Mg
0.191 0.191 0.810 Mg
0.191 0.810 0.191 Mg
0.381 0.190 0.381 Mg
0.381 0.381 0.190 Mg
0.619 0.000 0.809 Mg
0.619 0.809 0.000 Mg
0.809 0.000 0.619 Mg
0.809 0.619 0.000 Mg
0.810 0.191 0.191 Mg
0.000 0.000 0.000 Pb
0.000 0.000 0.328 Pb
0.000 0.310 0.587 Pb
0.000 0.328 0.000 Pb
0.000 0.587 0.310 Pb
0.278 0.690 0.690 Pb
0.310 0.000 0.587 Pb
0.310 0.587 0.000 Pb
0.328 0.000 0.000 Pb
0.413 0.413 0.722 Pb
0.413 0.722 0.413 Pb
0.587 0.000 0.310 Pb
0.587 0.310 0.000 Pb
0.672 0.672 0.672 Pb
0.690 0.278 0.690 Pb
0.690 0.690 0.278 Pb
0.722 0.413 0.413 Pb

# 2
MgPb2 | Alexandria | SCAN | single point on PBEsol structure; space group = P6_3/mmc (194); crystal system = hexagonal; total moment = 0.0000 μB per atom; E_form = -0.05 eV/atom; mass density = 8.86 Mg/m³; calculated total energy = -52.23 eV/atom
1.0
5.277 0.000 0.000
-2.638 4.570 0.000
0.000 0.000 6.823
Mg Pb
2 4
direct
0.333 0.667 0.250 Mg
0.667 0.333 0.750 Mg
0.000 0.000 0.000 Pb
0.000 0.000 0.500 Pb
0.333 0.667 0.750 Pb
0.667 0.333 0.250 Pb

# 3
MgPb2 | Alexandria | SCAN | single point on PBEsol structure; space group = I4/mcm (140); crystal system = tetragonal; total moment = 0.0000 μB per atom; E_form = -0.10 eV/atom; mass density = 9.00 Mg/m³; calculated total energy = -52.28 eV/atom
1.0
-3.664 3.664 3.016
3.664 -3.664 3.016
3.664 3.664 -3.016
Mg Pb
2 4
direct
0.250 0.250 0.000 Mg
0.750 0.750 0.000 Mg
0.159 0.659 0.818 Pb
0.341 0.159 0.500 Pb
0.659 0.841 0.500 Pb
0.841 0.341 0.182 Pb

# 4
Mg3Pb4 | Alexandria | SCAN | single point on PBEsol structure; space group = P6/mmm (191); crystal system = hexagonal; total moment = 0.0000 μB per atom; E_form = -0.01 eV/atom; mass density = 8.00 Mg/m³; calculated total energy = -45.45 eV/atom
1.0
5.901 0.000 0.000
-2.951 5.110 0.000
0.000 0.000 6.204
Mg Pb
3 4
direct
0.000 0.500 0.000 Mg
0.500 0.000 0.000 Mg
0.500 0.500 0.000 Mg
0.000 0.000 0.252 Pb
0.000 0.000 0.748 Pb
0.333 0.667 0.500 Pb
0.667 0.333 0.500 Pb

# 5
Mg2Pb | Alexandria | SCAN | single point on PBEsol structure; space group = I4_1/amd (141); crystal system = tetragonal; total moment = 0.0000 μB per atom; E_form = -0.02 eV/atom; mass density = 5.47 Mg/m³; calculated total energy = -28.60 eV/atom
1.0
-1.684 1.684 13.686
1.684 -1.684 13.686
1.684 1.684 -13.686
Mg Pb
4 2
direct
0.297 0.547 0.750 Mg
0.453 0.703 0.750 Mg
0.547 0.297 0.250 Mg
0.703 0.453 0.250 Mg
0.125 0.875 0.250 Pb
0.875 0.125 0.750 Pb

# 6
MgPb2 | Alexandria | SCAN | single point on PBEsol structure; space group = Immm (71); crystal system = orthorhombic; total moment = 0.0001 μB per atom; E_form = -0.06 eV/atom; mass density = 8.93 Mg/m³; calculated total energy = -52.24 eV/atom
1.0
-1.763 2.204 5.248
1.763 -2.204 5.248
1.763 2.204 -5.248
Mg Pb
1 2
direct
0.000 0.000 0.000 Mg
0.340 0.340 0.000 Pb
0.660 0.660 0.000 Pb

# 7
Mg5Pb3 | Alexandria | SCAN | single point on PBEsol structure; space group = I4/mcm (140); crystal system = tetragonal; total moment = 0.0000 μB per atom; E_form = -0.15 eV/atom; mass density = 6.28 Mg/m³; calculated total energy = -31.68 eV/atom
1.0
-5.756 5.756 2.964
5.756 -5.756 2.964
5.756 5.756 -2.964
Mg Pb
10 6
direct
0.074 0.768 0.842 Mg
0.232 0.074 0.307 Mg
0.250 0.750 0.500 Mg
0.268 0.574 0.842 Mg
0.426 0.268 0.693 Mg
0.574 0.732 0.307 Mg
0.732 0.426 0.158 Mg
0.750 0.250 0.500 Mg
0.768 0.926 0.693 Mg
0.926 0.232 0.158 Mg
0.168 0.332 0.500 Pb
0.250 0.250 0.000 Pb
0.332 0.832 0.164 Pb
0.668 0.168 0.836 Pb
0.750 0.750 0.000 Pb
0.832 0.668 0.500 Pb

# 8
MgPb2 | Alexandria | SCAN | single point on PBEsol structure; space group = P-62m (189); crystal system = hexagonal; total moment = 0.0000 μB per atom; E_form = -0.07 eV/atom; mass density = 8.96 Mg/m³; calculated total energy = -52.25 eV/atom
1.0
8.959 0.000 0.000
-4.479 7.758 0.000
0.000 0.000 3.508
Mg Pb
3 6
direct
0.000 0.000 0.000 Mg
0.333 0.667 0.500 Mg
0.667 0.333 0.500 Mg
0.000 0.382 0.000 Pb
0.000 0.714 0.500 Pb
0.286 0.286 0.500 Pb
0.382 0.000 0.000 Pb
0.618 0.618 0.000 Pb
0.714 0.000 0.500 Pb

# 9
MgPb | Alexandria | SCAN | single point on PBEsol structure; space group = P4/nmm (129); crystal system = tetragonal; total moment = 0.0026 μB per atom; E_form = -0.06 eV/atom; mass density = 7.40 Mg/m³; calculated total energy = -40.44 eV/atom
1.0
3.451 0.000 0.000
0.000 3.451 0.000
0.000 0.000 8.723
Mg Pb
2 2
direct
0.250 0.250 0.114 Mg
0.750 0.750 0.886 Mg
0.250 0.250 0.646 Pb
0.750 0.750 0.354 Pb

# 10
Mg2Pb | Alexandria | SCAN | single point on PBEsol structure; space group = P-3m1 (164); crystal system = trigonal; total moment = 0.0015 μB per atom; E_form = -0.07 eV/atom; mass density = 5.68 Mg/m³; calculated total energy = -28.65 eV/atom
1.0
3.377 0.000 0.000
-1.689 2.925 0.000
0.000 0.000 7.572
Mg Pb
2 1
direct
0.333 0.667 0.337 Mg
0.667 0.333 0.663 Mg
0.000 0.000 0.000 Pb

# 11
Mg5Pb | Alexandria | SCAN | single point on PBEsol structure; space group = Cmmm (65); crystal system = orthorhombic; total moment = 0.0000 μB per atom; E_form = -0.10 eV/atom; mass density = 3.94 Mg/m³; calculated total energy = -16.87 eV/atom
1.0
2.243 -6.802 0.000
2.243 6.802 0.000
0.000 0.000 4.539
Mg Pb
5 1
direct
0.000 0.000 0.000 Mg
0.167 0.833 0.500 Mg
0.331 0.669 0.000 Mg
0.669 0.331 0.000 Mg
0.833 0.167 0.500 Mg
0.500 0.500 0.500 Pb

# 12
Mg5Pb | Alexandria | SCAN | single point on PBEsol structure; space group = Cm (8); crystal system = monoclinic; total moment = 0.0000 μB per atom; E_form = -0.06 eV/atom; mass density = 3.87 Mg/m³; calculated total energy = -16.83 eV/atom
1.0
5.857 -1.653 0.000
5.857 1.653 0.000
-2.147 0.000 7.284
Mg Pb
5 1
direct
0.000 0.000 0.000 Mg
0.051 0.051 0.601 Mg
0.387 0.387 0.265 Mg
0.665 0.665 0.327 Mg
0.716 0.716 0.941 Mg
0.331 0.331 0.661 Pb